Material: ZrIn3Pd
Method: DFT, GGA-PBE
State: relaxed

Lattice parameters (Å, degrees): 5.0480 5.0480 5.0480 90.00 90.00 90.00
Last column: nearest neighbours and their distance in Å.
Positions (direct):
Zr 0.0000 0.0000 0.0000  12 In 3.57
In 0.0000 0.5000 0.5000  2 Pd 2.52
In 0.5000 0.0000 0.5000  2 Pd 2.52
In 0.5000 0.5000 0.0000  2 Pd 2.52
Pd 0.5000 0.5000 0.5000  6 In 2.52

Results
offset from the most stable computed form = 0 meV/atom
SG = Pm-3m

Material: Ti3V2Sn
Method: DFT, GGA-PBE
State: relaxed

Lattice parameters (Å, degrees): 6.9129 6.9129 3.3050 90.00 90.00 141.30
Last column: nearest neighbours and their distance in Å.
Positions (direct):
Ti 0.0000 0.0000 0.0000  4 V 2.70, 4 Sn 2.82
Ti 0.3168 0.6832 0.0000  6 V 2.59-2.84, 2 Ti 2.88
Ti 0.6832 0.3168 0.0000  6 V 2.59-2.84, 2 Ti 2.88
V 0.1635 0.8365 0.5000  8 Ti 2.59-2.84
V 0.8365 0.1635 0.5000  8 Ti 2.59-2.84
Sn 0.5000 0.5000 0.5000  8 Ti 2.82-2.91, 4 V 3.13

Results
SG = Cmmm

Material: Na2TiGeO5
Method: DFT, GGA-PBE
State: relaxed

Lattice parameters (Å, degrees): 6.3047 6.3047 11.6754 90.00 90.00 151.91
Last column: nearest neighbours and their distance in Å.
Positions (direct):
Na 0.0744 0.9256 0.5000  4 O 2.31-2.39
Na 0.1593 0.8407 0.1120  5 O 2.37-2.51
Na 0.8407 0.1593 0.6120  5 O 2.37-2.51
Na 0.9256 0.0744 0.0000  4 O 2.31-2.39
Ti 0.2396 0.7604 0.8550  3 O 1.79-1.97
Ti 0.7604 0.2396 0.3550  3 O 1.79-1.97
Ge 0.4659 0.5341 0.2626  3 O 1.73-1.86
Ge 0.5341 0.4659 0.7626  3 O 1.73-1.86
O 0.0575 0.9425 0.8495  2 Ge 1.86
O 0.2651 0.7349 0.4608  2 Ti 1.97
O 0.3069 0.6931 0.2433  1 Ge 1.96, 2 Ti 2.09
O 0.3825 0.6175 0.8219  1 Ti 1.79, 1 Ge 1.98
O 0.4926 0.5074 0.6207  1 Ge 1.73
O 0.5074 0.4926 0.1207  1 Ge 1.73
O 0.6175 0.3825 0.3219  1 Ti 1.79, 1 Ge 1.98
O 0.6931 0.3069 0.7433  1 Ge 1.96, 2 Ti 2.09
O 0.7349 0.2651 0.9608  2 Ti 1.97
O 0.9425 0.0575 0.3495  2 Ge 1.86

Results
offset from the most stable computed form = 82 meV/atom
SG = Cmc2_1

no.,E (eV per atom),volume (Å³/atom)
1,-4.14,25.7
2,-7.75,16.5
3,-6.59,12.1